A PBEsol-optimized structure of Sr2Al. Source: the Alexandria database, functional meta-GGA SCAN.

Computed properties:
VASP energy = -17.496 eV/atom
E_form = -0.062 eV per atom
N(E_F) = 1.001 states/eV per atom

The structure in extended XYZ format:
```
9
Lattice="-2.9109 -2.8532 3.3326 -4.6490 -2.8790 -6.5256 6.9652 -4.2334 2.4595" Properties=species:S:1:pos:R:3 pbc="T T T"
Al 3.0938 -3.7819 -0.5355
Al -1.4555 -1.4266 1.6663
Al -0.7776 -3.3305 -3.5306
Sr 2.6184 -3.9027 3.1048
Sr -4.1746 -3.1105 -2.1505
Sr 1.7605 -1.0700 0.6217
Sr -0.4939 -4.3791 -0.0216
Sr -1.1751 -0.7277 -1.6494
Sr 1.7308 -5.3147 -3.0384
```